# 1
4
Lattice="8.5383 0.0091 0.0241 6.7533 5.2245 -0.0241 -7.5260 -2.9669 2.7314" Properties=species:S:1:pos:R:3 comment="PBE-GGA KIrPb2, optimized geometry" energy_ev_per_atom=-4.166 ef_mev_per_atom=178.0 space_group="Imm2 (44)" n_ef_per_ev_atom=0.624 volume_a3_per_atom=30.38 magmom_total_mub_per_cell=0.0 pbc="T T T"
Ir 8.1268 2.7814 0.0000
K 4.4274 2.7764 1.3536
Pb 15.1812 5.1958 0.0000
Pb 2.9675 -0.6365 1.3778


# 2
4
Lattice="-11.7984 -0.0436 1.0623 -11.3466 -3.2836 0.8982 -11.0932 -1.7383 3.7751" Properties=species:S:1:pos:R:3 comment="PBE-GGA K2IrPb, optimized geometry" energy_ev_per_atom=-3.023 ef_mev_per_atom=668.0 space_group="R-3m (166)" n_ef_per_ev_atom=1.046 volume_a3_per_atom=27.16 magmom_total_mub_per_cell=0.6 pbc="T T T"
Ir -25.6787 -3.7991 4.3018
K -0.3908 -0.0578 0.0655
K -16.7283 -2.4749 2.8024
Pb -8.5596 -1.2664 1.4339


# 3
5
Lattice="6.0758 0.0000 0.0000 0.0000 6.0758 0.0000 0.0000 0.0000 6.0758" Properties=species:S:1:pos:R:3 comment="PBE-GGA K3IrPb, optimized geometry" energy_ev_per_atom=-2.323 ef_mev_per_atom=849.5 space_group="Pm-3m (221)" n_ef_per_ev_atom=1.690 volume_a3_per_atom=44.86 magmom_total_mub_per_cell=0.0 pbc="T T T"
Pb 3.0379 3.0379 3.0379
K 0.0000 3.0379 0.0000
K 0.0000 0.0000 3.0379
K 3.0379 0.0000 0.0000
Ir 0.0000 0.0000 0.0000


# 4
4
Lattice="-4.0942 -4.6645 0.2605 3.8421 1.7755 4.5468 -2.4333 2.1446 1.2834" Properties=species:S:1:pos:R:3 comment="PBE-GGA K2IrPb, optimized geometry" energy_ev_per_atom=-3.105 ef_mev_per_atom=586.5 space_group="C2/m (12)" n_ef_per_ev_atom=0.487 volume_a3_per_atom=27.12 magmom_total_mub_per_cell=0.0 pbc="T T T"
Ir 0.7044 1.9600 2.9151
K 0.0000 0.0000 0.0000
K -0.1260 -1.4445 2.4037
Pb -3.2638 -1.2600 0.7719


# 5
4
Lattice="3.1442 0.0000 0.0000 0.0000 3.1442 0.0000 0.0000 0.0000 11.1605" Properties=species:S:1:pos:R:3 comment="PBE-GGA K2IrPb, optimized geometry" energy_ev_per_atom=-3.075 ef_mev_per_atom=615.8 space_group="P4/mmm (123)" n_ef_per_ev_atom=1.063 volume_a3_per_atom=27.58 magmom_total_mub_per_cell=0.4 pbc="T T T"
Ir 1.5721 1.5721 8.3704
K 0.0000 0.0000 10.7707
K 0.0000 0.0000 5.9701
Pb 1.5721 1.5721 2.7901


# 6
4
Lattice="3.4008 0.0000 0.0000 0.0000 5.5422 0.0000 0.0000 0.0000 5.6954" Properties=species:S:1:pos:R:3 comment="PBE-GGA K2IrPb, optimized geometry" energy_ev_per_atom=-3.105 ef_mev_per_atom=585.6 space_group="Pmmm (47)" n_ef_per_ev_atom=0.711 volume_a3_per_atom=26.84 magmom_total_mub_per_cell=0.0 pbc="T T T"
Ir 1.7004 2.7711 4.2715
K 0.0000 0.0000 5.6380
K 0.0000 0.0000 2.9051
Pb 1.7004 2.7711 1.4238


# 7
4
Lattice="-0.4323 3.4119 -2.5698 -3.2895 -2.8882 -3.2813 -6.5166 0.3983 1.6251" Properties=species:S:1:pos:R:3 comment="PBE-GGA K2IrPb, optimized geometry" energy_ev_per_atom=-3.386 ef_mev_per_atom=305.3 space_group="Amm2 (38)" n_ef_per_ev_atom=0.656 volume_a3_per_atom=36.10 magmom_total_mub_per_cell=0.0 pbc="T T T"
Ir -6.9874 0.3920 -1.8904
K -9.1480 -2.4821 -1.7565
K -3.2427 1.0444 -1.6542
Pb -5.5694 -1.7671 -1.4092


# 8
4
Lattice="-0.8419 0.0632 4.6687 1.7792 -4.3881 0.3802 4.0821 1.7169 0.7129" Properties=species:S:1:pos:R:3 comment="PBE-GGA KIrPb2, optimized geometry" energy_ev_per_atom=-3.799 ef_mev_per_atom=544.5 space_group="P4/mmm (123)" n_ef_per_ev_atom=0.631 volume_a3_per_atom=25.27 magmom_total_mub_per_cell=0.0 pbc="T T T"
Ir 1.6201 0.8901 2.6908
K 2.9307 -1.3356 0.5466
Pb 0.0000 0.0000 0.0000
Pb 0.4687 -2.1625 2.5244


# 9
4
Lattice="-5.3109 1.5124 -1.8172 -4.1815 -2.6790 3.0221 4.7153 3.0366 1.5296" Properties=species:S:1:pos:R:3 comment="PBE-GGA KIrPb2, optimized geometry" energy_ev_per_atom=-3.778 ef_mev_per_atom=566.0 space_group="I-4m2 (119)" n_ef_per_ev_atom=1.049 volume_a3_per_atom=25.46 magmom_total_mub_per_cell=0.0 pbc="T T T"
Ir -4.7462 -0.5833 0.6025
K -2.6709 1.9829 0.1574
Pb 0.0000 0.0000 0.0000
Pb -2.1062 -0.1128 2.5771


# 10
4
Lattice="6.2274 0.0009 0.0029 -2.9450 5.5047 -0.0140 0.3375 0.8893 2.9875" Properties=species:S:1:pos:R:3 comment="PBE-GGA KIrPb2, optimized geometry" energy_ev_per_atom=-3.722 ef_mev_per_atom=622.0 space_group="C2/m (12)" n_ef_per_ev_atom=0.951 volume_a3_per_atom=25.62 magmom_total_mub_per_cell=0.3 pbc="T T T"
Ir -1.3037 3.1970 1.4868
K 1.6412 2.7528 -0.0055
Pb 0.0000 0.0000 0.0000
Pb 3.2825 0.4451 1.4952


# 11
4
Lattice="3.5523 0.0000 0.0000 0.0000 3.4252 -0.0057 0.0000 3.4293 8.7066" Properties=species:S:1:pos:R:3 comment="PBE-GGA KIrPb2, optimized geometry" energy_ev_per_atom=-4.250 ef_mev_per_atom=93.4 space_group="P2/m (10)" n_ef_per_ev_atom=0.948 volume_a3_per_atom=26.50 magmom_total_mub_per_cell=0.3 pbc="T T T"
Ir 1.7761 1.7136 2.1752
K 1.7761 5.1409 6.5256
Pb 0.0000 3.4266 0.5467
Pb 0.0000 3.4259 3.7980


# 12
4
Lattice="-1.5926 4.6440 -2.9604 -2.3460 -4.7629 -2.1628 -2.5970 0.3765 1.9878" Properties=species:S:1:pos:R:3 comment="PBE-GGA KIrPb2, optimized geometry" energy_ev_per_atom=-3.737 ef_mev_per_atom=607.1 space_group="Cmmm (65)" n_ef_per_ev_atom=0.778 volume_a3_per_atom=25.19 magmom_total_mub_per_cell=0.0 pbc="T T T"
Ir -2.0948 2.5103 -0.4863
K -2.4715 -2.1932 -0.0875
Pb 0.0000 0.0000 0.0000
Pb -1.9693 -0.0595 -2.5616